# 1
VASP calculation (GGA-PBE) on Hf4NpN5 after structural relaxation.

Lattice parameters (Å, degrees): 4.6080 5.6374 5.6374 80.38 65.88 65.88
Closest atoms and distances in Å follow each position.
Element x y z (fractional)
Hf (0.4044, 0.3976, 0.7956)  6 N 2.23-2.33
Hf (0.8020, 0.7956, 0.6024)  6 N 2.23-2.33
Hf (0.2000, 0.2044, 0.3976)  6 N 2.23-2.33
Hf (0.5976, 0.6024, 0.2044)  6 N 2.23-2.33
Np (0.0011, 0.0000, 0.0000)  6 N 2.30-2.35
N (0.8996, 0.4074, 0.7955)  5 Hf 2.23-2.33, 1 Np 2.35
N (0.3070, 0.7955, 0.5926)  5 Hf 2.23-2.33, 1 Np 2.35
N (0.6950, 0.2045, 0.4074)  5 Hf 2.23-2.33, 1 Np 2.35
N (0.1025, 0.5926, 0.2045)  5 Hf 2.23-2.33, 1 Np 2.35
N (0.5011, 0.0000, 0.0000)  4 Hf 2.30, 2 Np 2.30

Summary:
VASP energy = -11.067 eV per atom
Total magnetic moment = 0.2814 μB/atom
Volume = 12.20 Å³ per atom
Space-group type = I4/m (87)
DOS(E_F) = 7.970 states/eV/f.u.

=====

# 2
VASP calculation (GGA-PBE) on PmNdSb2 after structural relaxation.

Lattice parameters (Å, degrees): 4.4679 4.4679 8.0869 73.96 73.96 60.00
Closest atoms and distances in Å follow each position.
Element x y z (fractional)
Pm (0.6690, 0.6690, 0.9931)  6 Sb 3.16-3.22
Nd (0.4978, 0.4978, 0.5068)  6 Sb 3.21-3.27
Sb (0.0816, 0.0816, 0.7552)  3 Pm 3.16, 3 Nd 3.21
Sb (0.2517, 0.2517, 0.2449)  3 Pm 3.22, 3 Nd 3.27

Summary:
Total magnetic moment = 0.0000 μB/atom
Excess energy over the best structure of this formula in the dataset = 120 meV per atom
Volume = 33.12 Å³ per atom
Space-group type = R3m (160)
DOS(E_F) = 0.376 states/eV/f.u.

=====

# 3
VASP calculation (GGA-PBE) on RbHf2PPd after structural relaxation.

Lattice parameters (Å, degrees): 5.0111 4.9364 5.0111 90.00 90.00 90.00
Closest atoms and distances in Å follow each position.
Element x y z (fractional)
P (0.0000, 0.5000, 0.0000)  2 Rb 2.47
Hf (0.0000, 0.0000, 0.5000)  2 Rb 2.51
Hf (0.5000, 0.0000, 0.0000)  2 Rb 2.51
Rb (0.0000, 0.0000, 0.0000)  2 P 2.47, 4 Hf 2.51
Pd (0.5000, 0.5000, 0.5000)  8 Hf 3.52, 4 P 3.54

Summary:
Total magnetic moment = 0.0000 μB/atom
Volume = 24.79 Å³ per atom
Space-group type = P4/mmm (123)
DOS(E_F) = 6.002 states/eV/f.u.
Calculated formation energy = 2.40 eV/atom

=====

# 4
VASP calculation (GGA-PBE) on La2PmNd6Dy after structural relaxation.

Lattice parameters (Å, degrees): 10.1549 8.9481 8.9481 117.84 95.23 95.23
Closest atoms and distances in Å follow each position.
Element x y z (fractional)
La (0.4590, 0.8071, 0.7109)  5 Nd 3.33-3.63, 2 Pm 3.42-3.46, 1 Dy 3.64
La (0.0410, 0.2891, 0.1929)  5 Nd 3.33-3.63, 2 Pm 3.42-3.46, 1 Dy 3.64
La (0.5410, 0.1929, 0.2891)  5 Nd 3.33-3.63, 2 Pm 3.42-3.46, 1 Dy 3.64
La (0.9590, 0.7109, 0.8071)  5 Nd 3.33-3.63, 2 Pm 3.42-3.46, 1 Dy 3.64
Pm (0.2500, 0.9880, 0.0120)  4 La 3.42-3.46, 4 Nd 3.67-3.68
Pm (0.7500, 0.0120, 0.9880)  4 La 3.42-3.46, 4 Nd 3.67-3.68
Nd (0.0555, 0.1199, 0.7397)  7 Nd 3.50-3.88, 1 La 3.63, 1 Pm 3.67, 1 Dy 3.84
Nd (0.4445, 0.2603, 0.8801)  7 Nd 3.50-3.88, 1 La 3.63, 1 Pm 3.67, 1 Dy 3.84
Nd (0.9445, 0.8801, 0.2603)  7 Nd 3.50-3.88, 1 La 3.63, 1 Pm 3.67, 1 Dy 3.84
Nd (0.5555, 0.7397, 0.1199)  7 Nd 3.50-3.88, 1 La 3.63, 1 Pm 3.67, 1 Dy 3.84
Nd (0.3113, 0.9824, 0.4211)  4 Nd 3.38-3.73, 1 La 3.49, 1 Dy 3.50, 1 Pm 3.68
Nd (0.1887, 0.5789, 0.0176)  4 Nd 3.38-3.73, 1 La 3.49, 1 Dy 3.50, 1 Pm 3.68
Nd (0.6887, 0.0176, 0.5789)  4 Nd 3.38-3.73, 1 La 3.49, 1 Dy 3.50, 1 Pm 3.68
Nd (0.8113, 0.4211, 0.9824)  4 Nd 3.38-3.73, 1 La 3.49, 1 Dy 3.50, 1 Pm 3.68
Nd (0.1205, 0.7018, 0.4966)  3 La 3.33-3.59, 4 Nd 3.38-3.63, 2 Dy 3.48-3.71
Nd (0.3795, 0.5034, 0.2982)  3 La 3.33-3.59, 4 Nd 3.38-3.63, 2 Dy 3.48-3.71
Nd (0.8795, 0.2982, 0.5034)  3 La 3.33-3.59, 4 Nd 3.38-3.63, 2 Dy 3.48-3.71
Nd (0.6205, 0.4966, 0.7018)  3 La 3.33-3.59, 4 Nd 3.38-3.63, 2 Dy 3.48-3.71
Dy (0.2500, 0.4052, 0.5948)  8 Nd 3.48-3.84, 2 La 3.64
Dy (0.7500, 0.5948, 0.4052)  8 Nd 3.48-3.84, 2 La 3.64

Summary:
Total magnetic moment = 0.0000 μB/atom
Volume = 35.38 Å³ per atom
Space-group type = C2/c (15)
DOS(E_F) = 15.396 states/eV/f.u.
Calculated formation energy = 0.11 eV/atom

=====

# 5
VASP calculation (GGA-PBE) on HoScFe10 after structural relaxation.

Lattice parameters (Å, degrees): 3.9494 4.9101 8.4803 90.00 90.00 90.00
Closest atoms and distances in Å follow each position.
Element x y z (fractional)
Ho (0.0000, 0.0000, 0.0000)  18 Fe 2.86-3.17
Sc (0.0000, 0.5000, 0.5000)  6 Fe 2.78-2.81
Fe (0.0000, 0.0000, 0.3383)  6 Fe 2.40-2.44
Fe (0.0000, 0.5000, 0.8281)  6 Fe 2.42-2.45
Fe (0.0000, 0.5000, 0.1719)  6 Fe 2.42-2.45
Fe (0.0000, 0.0000, 0.6617)  6 Fe 2.40-2.44
Fe (0.5000, 0.0000, 0.5000)  8 Fe 2.40-2.42
Fe (0.5000, 0.5000, 0.0000)  8 Fe 2.45-2.48
Fe (0.5000, 0.2516, 0.2542)  8 Fe 2.42-2.48
Fe (0.5000, 0.7484, 0.7458)  8 Fe 2.42-2.48
Fe (0.5000, 0.7484, 0.2542)  8 Fe 2.42-2.48
Fe (0.5000, 0.2516, 0.7458)  8 Fe 2.42-2.48

Summary:
Total magnetic moment = 1.5715 μB/atom
Volume = 13.70 Å³ per atom
Space-group type = Pmmm (47)
DOS(E_F) = 9.748 states/eV/f.u.
Calculated formation energy = -0.06 eV/atom

=====

# 6
VASP calculation (GGA-PBE) on CoSi2Au after structural relaxation.

Lattice parameters (Å, degrees): 5.0645 5.0645 5.0645 148.69 120.90 68.42
Closest atoms and distances in Å follow each position.
Element x y z (fractional)
Au (0.7500, 0.2500, 0.5000)  4 Si 2.70, 2 Au 2.73, 4 Co 2.85
Co (0.2500, 0.7500, 0.5000)  4 Si 2.31
Si (0.0280, 0.0280, 0.0000)  2 Co 2.31
Si (0.4720, 0.4720, 0.0000)  2 Co 2.31

Summary:
Total magnetic moment = 0.0001 μB/atom
Excess energy over the best structure of this formula in the dataset = 323 meV per atom
Volume = 14.30 Å³ per atom
Space-group type = Immm (71)
DOS(E_F) = 2.000 states/eV/f.u.

=====

# 7
VASP calculation (GGA-PBE) on Ac2In4Cu3Ag after structural relaxation.

Lattice parameters (Å, degrees): 4.6751 4.6751 10.9193 90.00 90.00 90.00
Closest atoms and distances in Å follow each position.
Element x y z (fractional)
Ac (0.5000, 0.0000, 0.2561)  8 In 3.52-3.65, 2 Ag 3.54, 6 Cu 3.54-3.59
Ac (0.0000, 0.5000, 0.7439)  8 In 3.52-3.65, 6 Cu 3.54-3.59, 2 Ag 3.54
In (0.5000, 0.5000, 0.0000)  4 Cu 2.73
In (0.0000, 0.0000, 0.0000)  4 Cu 2.73
In (0.5000, 0.0000, 0.6326)  3 Cu 2.60-2.75, 2 Ag 2.75
In (0.0000, 0.5000, 0.3674)  3 Cu 2.60-2.75, 2 Ag 2.75
Cu (0.0000, 0.0000, 0.5000)  4 In 2.75
Cu (0.5000, 0.0000, 0.8710)  5 In 2.60-2.73
Cu (0.0000, 0.5000, 0.1290)  5 In 2.60-2.73
Ag (0.5000, 0.5000, 0.5000)  4 In 2.75

Summary:
Total magnetic moment = 0.0000 μB/atom
Volume = 23.87 Å³ per atom
Space-group type = P-4m2 (115)
DOS(E_F) = 6.204 states/eV/f.u.
Calculated formation energy = -0.28 eV/atom

=====

# 8
VASP calculation (GGA-PBE) on Tb2MgAl2Ni5 after structural relaxation.

Lattice parameters (Å, degrees): 3.5242 9.6090 9.6090 90.00 90.00 90.00
Closest atoms and distances in Å follow each position.
Element x y z (fractional)
Tb (0.0000, 0.6821, 0.1821)  3 Al 2.78-2.92, 10 Ni 3.04-3.08
Tb (0.0000, 0.3179, 0.8179)  3 Al 2.78-2.92, 10 Ni 3.04-3.08
Tb (0.0000, 0.1821, 0.3179)  3 Al 2.78-2.92, 10 Ni 3.04-3.08
Tb (0.0000, 0.8179, 0.6821)  3 Al 2.78-2.92, 10 Ni 3.04-3.08
Mg (0.0000, 0.0000, 0.0000)  8 Ni 2.82
Mg (0.0000, 0.5000, 0.5000)  8 Ni 2.82
Al (0.0000, 0.1136, 0.6136)  6 Ni 2.34-2.42
Al (0.0000, 0.8864, 0.3864)  6 Ni 2.34-2.42
Al (0.0000, 0.6136, 0.8864)  6 Ni 2.34-2.42
Al (0.0000, 0.3864, 0.1136)  6 Ni 2.34-2.42
Ni (0.5000, 0.2210, 0.0625)  2 Al 2.42
Ni (0.5000, 0.7790, 0.9375)  2 Al 2.42
Ni (0.5000, 0.0625, 0.7790)  2 Al 2.42
Ni (0.5000, 0.7210, 0.4375)  2 Al 2.42
Ni (0.5000, 0.9375, 0.2210)  2 Al 2.42
Ni (0.5000, 0.2790, 0.5625)  2 Al 2.42
Ni (0.5000, 0.5625, 0.7210)  2 Al 2.42
Ni (0.5000, 0.4375, 0.2790)  2 Al 2.42
Ni (0.5000, 0.5000, 0.0000)  4 Al 2.34
Ni (0.5000, 0.0000, 0.5000)  4 Al 2.34

Summary:
Total magnetic moment = 0.0000 μB/atom
Volume = 16.27 Å³ per atom
Space-group type = P4/mbm (127)
DOS(E_F) = 6.811 states/eV/f.u.
Calculated formation energy = -0.34 eV/atom

=====

Which value of DOS(E_F) does entry 4 give?
15.396 states/eV/f.u.